## GdB2C2 (GGA-PBEsol)

Data for a relaxed GdB2C2 crystal.

Output
DFT total energy in eV per atom: -10.05
Energy of formation from the pure elements in eV per atom: -0.4965

Unit cell a=5.343 b=5.343 c=3.578 alpha=90.00 beta=90.00 gamma=90.00
Positions (direct):
1 Gd 0.000 0.000 0.000
2 Gd 0.500 0.500 0.000
3 B 0.136 0.364 0.500
4 B 0.364 0.864 0.500
5 B 0.636 0.136 0.500
6 B 0.864 0.636 0.500
7 C 0.162 0.662 0.500
8 C 0.338 0.162 0.500
9 C 0.662 0.838 0.500
10 C 0.838 0.338 0.500